Run P
! ZnCdAg4 (PBE-GGA, optimized geometry); values from VASP
&SYSTEM
  ibrav = 0, nat = 6, ntyp = 3
/
ATOMIC_SPECIES
Zn 65.41 Zn.upf
Cd 112.41 Cd.upf
Ag 107.87 Ag.upf
CELL_PARAMETERS angstrom
2.995 0.000 0.000
0.000 2.995 0.000
0.000 0.000 11.923
ATOMIC_POSITIONS crystal
Zn 0.000 0.000 0.000
Cd 0.500 0.500 0.500
Ag 0.000 0.000 0.321
Ag 0.000 0.000 0.679
Ag 0.500 0.500 0.149
Ag 0.500 0.500 0.851
! Total magnetic moment ... 0.0 μB per cell


Run Q
! ZnCdAg4 (PBE-GGA, optimized geometry); values from VASP
&SYSTEM
  ibrav = 0, nat = 12, ntyp = 3
/
ATOMIC_SPECIES
Zn 65.41 Zn.upf
Cd 112.41 Cd.upf
Ag 107.87 Ag.upf
CELL_PARAMETERS angstrom
3.714 -6.069 0.000
3.714 6.069 0.000
-1.885 0.000 4.889
ATOMIC_POSITIONS crystal
Zn 0.001 0.999 0.750
Zn 0.999 0.001 0.250
Cd 0.404 0.596 0.750
Cd 0.596 0.404 0.250
Ag 0.089 0.711 0.452
Ag 0.176 0.410 0.133
Ag 0.289 0.911 0.048
Ag 0.410 0.176 0.633
Ag 0.590 0.824 0.367
Ag 0.711 0.089 0.952
Ag 0.824 0.590 0.867
Ag 0.911 0.289 0.548
! Total magnetic moment ... 0.0 μB per cell


Run R
! ZnCdAg4 (PBE-GGA, optimized geometry); values from VASP
&SYSTEM
  ibrav = 0, nat = 6, ntyp = 3
/
ATOMIC_SPECIES
Zn 65.41 Zn.upf
Cd 112.41 Cd.upf
Ag 107.87 Ag.upf
CELL_PARAMETERS angstrom
0.000 3.901 3.901
3.901 0.000 3.901
3.901 3.901 0.000
ATOMIC_POSITIONS crystal
Zn 0.000 0.000 0.000
Cd 0.250 0.250 0.250
Ag 0.125 0.625 0.625
Ag 0.625 0.125 0.625
Ag 0.625 0.625 0.125
Ag 0.625 0.625 0.625
! Total magnetic moment ... 0.0 μB per cell


Energetically preferred structure: run P | next structure: +2.7 kJ/mol of atoms


Run P
! Zn4Cd2Ag5 (PBE-GGA, optimized geometry); values from VASP
&SYSTEM
  ibrav = 0, nat = 11, ntyp = 3
/
ATOMIC_SPECIES
Zn 65.41 Zn.upf
Cd 112.41 Cd.upf
Ag 107.87 Ag.upf
CELL_PARAMETERS angstrom
5.246 -2.829 0.000
5.246 2.829 0.000
-4.851 0.000 6.809
ATOMIC_POSITIONS crystal
Zn 0.226 0.226 0.144
Zn 0.243 0.243 0.485
Zn 0.757 0.757 0.515
Zn 0.774 0.774 0.856
Cd 0.235 0.235 0.808
Cd 0.765 0.765 0.192
Ag 0.249 0.743 0.813
Ag 0.257 0.751 0.187
Ag 0.500 0.500 0.500
Ag 0.743 0.249 0.813
Ag 0.751 0.257 0.187
! Total magnetic moment ... 0.0 μB per cell


Run Q
! Zn4Cd2Ag5 (PBE-GGA, optimized geometry); values from VASP
&SYSTEM
  ibrav = 0, nat = 11, ntyp = 3
/
ATOMIC_SPECIES
Zn 65.41 Zn.upf
Cd 112.41 Cd.upf
Ag 107.87 Ag.upf
CELL_PARAMETERS angstrom
5.031 -2.847 0.000
5.031 2.847 0.000
-0.142 0.000 7.056
ATOMIC_POSITIONS crystal
Zn 0.093 0.093 0.359
Zn 0.265 0.265 0.007
Zn 0.735 0.735 0.993
Zn 0.907 0.907 0.641
Cd 0.420 0.420 0.687
Cd 0.580 0.580 0.313
Ag 0.000 0.000 0.000
Ag 0.082 0.588 0.312
Ag 0.412 0.918 0.688
Ag 0.588 0.082 0.312
Ag 0.918 0.412 0.688
! Total magnetic moment ... 0.0 μB per cell


Energetically preferred structure: run Q | next structure: +0.6 kJ/mol of atoms


Run P
! ZnCdAg (PBE-GGA, optimized geometry); values from VASP
&SYSTEM
  ibrav = 0, nat = 12, ntyp = 3
/
ATOMIC_SPECIES
Zn 65.41 Zn.upf
Cd 112.41 Cd.upf
Ag 107.87 Ag.upf
CELL_PARAMETERS angstrom
0.000 5.389 6.689
3.684 0.000 6.689
3.684 5.389 0.000
ATOMIC_POSITIONS crystal
Zn 0.000 0.000 0.000
Zn 0.000 0.000 0.500
Zn 0.000 0.500 0.000
Zn 0.500 0.000 0.000
Cd 0.183 0.183 0.567
Cd 0.433 0.433 0.817
Cd 0.567 0.567 0.183
Cd 0.817 0.817 0.433
Ag 0.188 0.562 0.562
Ag 0.438 0.812 0.812
Ag 0.562 0.188 0.188
Ag 0.812 0.438 0.438
! Total magnetic moment ... 0.0 μB per cell


Run Q
! ZnCdAg (PBE-GGA, optimized geometry); values from VASP
&SYSTEM
  ibrav = 0, nat = 3, ntyp = 3
/
ATOMIC_SPECIES
Zn 65.41 Zn.upf
Cd 112.41 Cd.upf
Ag 107.87 Ag.upf
CELL_PARAMETERS angstrom
-1.553 1.932 4.512
1.553 -1.932 4.512
1.553 1.932 -4.512
ATOMIC_POSITIONS crystal
Zn 0.000 0.000 0.000
Cd 0.671 0.671 0.000
Ag 0.348 0.348 0.000
! Total magnetic moment ... 0.0 μB per cell


Energetically preferred structure: run Q | next structure: +15.8 kJ/mol of atoms


Run P
! ZnCdAg (PBE-GGA, optimized geometry); values from VASP
&SYSTEM
  ibrav = 0, nat = 6, ntyp = 3
/
ATOMIC_SPECIES
Zn 65.41 Zn.upf
Cd 112.41 Cd.upf
Ag 107.87 Ag.upf
CELL_PARAMETERS angstrom
3.161 0.000 0.000
0.000 3.045 0.000
-1.214 0.000 11.475
ATOMIC_POSITIONS crystal
Zn 0.223 0.250 0.434
Zn 0.777 0.750 0.566
Cd 0.096 0.250 0.110
Cd 0.904 0.750 0.890
Ag 0.336 0.250 0.712
Ag 0.664 0.750 0.288
! Total magnetic moment ... 0.0 μB per cell


Run Q
! ZnCdAg (PBE-GGA, optimized geometry); values from VASP
&SYSTEM
  ibrav = 0, nat = 3, ntyp = 3
/
ATOMIC_SPECIES
Zn 65.41 Zn.upf
Cd 112.41 Cd.upf
Ag 107.87 Ag.upf
CELL_PARAMETERS angstrom
4.644 0.000 0.000
-2.322 4.022 0.000
0.000 0.000 2.919
ATOMIC_POSITIONS crystal
Zn 0.000 0.000 0.000
Cd 0.667 0.333 0.594
Ag 0.333 0.667 0.126
! Total magnetic moment ... 0.0 μB per cell


Run R
! ZnCdAg (PBE-GGA, optimized geometry); values from VASP
&SYSTEM
  ibrav = 0, nat = 3, ntyp = 3
/
ATOMIC_SPECIES
Zn 65.41 Zn.upf
Cd 112.41 Cd.upf
Ag 107.87 Ag.upf
CELL_PARAMETERS angstrom
0.000 3.154 3.154
3.154 0.000 3.154
3.154 3.154 0.000
ATOMIC_POSITIONS crystal
Zn 0.000 0.000 0.000
Cd 0.250 0.250 0.250
Ag 0.750 0.750 0.750
! Total magnetic moment ... 0.0 μB per cell


Energetically preferred structure: run P | next structure: +2.5 kJ/mol of atoms